A plane-wave DFT calculation with PBE was carried out for a relaxed structure of Be2ReNi.

a b c (Å): 3.6476 2.5694 8.9272
angles (deg): 90.00 90.00 90.00
Atoms (fractional coordinates):
Be (0.0000, 0.0000, 0.0000)
Be (0.0000, 0.5000, 0.5000)
Be (0.5000, 0.0000, 0.1299)
Be (0.5000, 0.5000, 0.6299)
Re (0.5000, 0.0000, 0.3923)
Re (0.5000, 0.5000, 0.8923)
Ni (0.0000, 0.0000, 0.7211)
Ni (0.0000, 0.5000, 0.2211)

Calculated values
- Energy relative to the elements: -0.106 eV/atom
- Excess energy over the best structure of this formula in the dataset: 0.0847 eV/atom
- Total energy: -6.5260 eV/atom
- M_tot: 0.0 μB per cell
- SG: Amm2 (38)